# BiN2O2 | Alexandria via LeMat-Bulk | PBE | relaxed
# Size of the total moment (μB per formula unit): 0.0
# Uncorrected energy (eV per atom): -6.549
# E_form (uncorrected) (kJ per mole of atoms): -44.3
# Distance to the lowest polymorph of the same formula (eV/atom): 0.000
data_BiN2O2
_symmetry_space_group_name_H-M 'C 1 2/m 1'
_symmetry_Int_Tables_number 12
_symmetry_space_group_name_Hall '-C 2y'
_cell_length_a 6.202
_cell_length_b 3.584
_cell_length_c 9.253
_cell_angle_alpha 90.00
_cell_angle_beta 99.41
_cell_angle_gamma 90.00
loop_
_atom_site_label
_atom_site_fract_x
_atom_site_fract_y
_atom_site_fract_z
Bi1 0.000 0.000 0.000
N1 0.040 0.500 0.558
O1 0.193 0.500 0.108

# CaLaW3 | Alexandria via LeMat-Bulk | PBE | relaxed
# Size of the total moment (μB per formula unit): 0.1
# ΔH_f (0 K) (meV per atom): 2451
# Uncorrected energy (eV per atom): -6.706
# Distance to the lowest polymorph of the same formula (eV/atom): 0.000
data_CaLaW3
_symmetry_space_group_name_H-M 'P m -3 m'
_symmetry_Int_Tables_number 221
_symmetry_space_group_name_Hall '-P 4 2 3'
_cell_length_a 4.966
_cell_length_b 4.966
_cell_length_c 4.966
_cell_angle_alpha 90.00
_cell_angle_beta 90.00
_cell_angle_gamma 90.00
loop_
_atom_site_label
_atom_site_fract_x
_atom_site_fract_y
_atom_site_fract_z
Ca1 0.000 0.000 0.000
La1 0.500 0.500 0.500
W1 0.000 0.500 0.500

# Ac2SmIO8 | Alexandria via LeMat-Bulk | PBE | relaxed
# Size of the total moment (μB per formula unit): 0.0
# Uncorrected energy (eV per atom): -6.741
# E_form (uncorrected) (kJ per mole of atoms): -215.0
data_Ac2SmIO8
_symmetry_space_group_name_H-M 'P 1 2/m 1'
_symmetry_Int_Tables_number 10
_symmetry_space_group_name_Hall '-P 2y'
_cell_length_a 5.357
_cell_length_b 7.223
_cell_length_c 5.364
_cell_angle_alpha 90.00
_cell_angle_beta 91.40
_cell_angle_gamma 90.00
loop_
_atom_site_label
_atom_site_fract_x
_atom_site_fract_y
_atom_site_fract_z
Ac1 0.000 0.244 0.000
Sm1 0.500 0.500 0.500
I1 0.500 0.000 0.500
O1 0.197 0.500 0.199
O2 0.246 0.000 0.250
O3 0.332 0.199 0.670